Compound: BeVGe2O6
Source: Alexandria via LeMat-Bulk
Functional: PBE with a Hubbard U
Structure: optimized geometry

Results
For the raw total energy, the calculation gives -0.2528 Ha/atom.

Structure (CIF):
```
data_BeVGe2O6
_chemical_formula_sum 'Be4 V4 Ge8 O24'
_space_group_name_H-M_alt 'C 1 2/c 1'
_space_group_IT_number 15
_cell_length_a 9.7733
_cell_length_b 9.5929
_cell_length_c 5.4101
_cell_angle_alpha 90.00
_cell_angle_beta 112.04
_cell_angle_gamma 90.00
loop_
_space_group_symop_operation_xyz
'x,y,z'
'-x,-y,-z'
'-x,y,-z+1/2'
'x,-y,z+1/2'
'x+1/2,y+1/2,z'
'-x+1/2,-y+1/2,-z'
'-x+1/2,y+1/2,-z+1/2'
'x+1/2,-y+1/2,z+1/2'
loop_
_atom_site_label
_atom_site_type_symbol
_atom_site_fract_x
_atom_site_fract_y
_atom_site_fract_z
Be1 Be 0.0000 0.1937 0.2500
V1 V 0.0000 0.1042 0.7500
Ge1 Ge 0.1878 0.4100 0.6841
O1 O 0.0982 0.2549 0.5485
O2 O 0.1139 0.0867 0.1747
O3 O 0.1393 0.4457 0.9637
```